# Pr5HgIr2 | the Alexandria database | PBE-GGA | optimized geometry
# - VASP energy: -5.554 eV/atom
# - D(E_F): 6.886 states/eV/f.u.
# - Formation energy: -314 meV/atom
data_Pr5HgIr2
_chemical_formula_sum 'Pr20 Hg4 Ir8'
_symmetry_space_group_name_H-M 'C m c m'
_symmetry_Int_Tables_number 63
_symmetry_space_group_name_Hall '-C 2c 2'
_cell_length_a 5.854
_cell_length_b 13.567
_cell_length_c 14.544
_cell_angle_alpha 90.00
_cell_angle_beta 90.00
_cell_angle_gamma 90.00
loop_
_atom_site_label
_atom_site_fract_x
_atom_site_fract_y
_atom_site_fract_z
Pr1 0.000 0.050 0.113
Pr2 0.000 0.215 0.750
Pr3 0.000 0.333 0.048
Hg1 0.000 0.228 0.250
Ir1 0.000 0.148 0.557